Entry 1:
Below is an optimized crystal structure of BiOsI2, with properties calculated at the GGA-PBE level.

Summary:
Relative energy among the computed polymorphs = 0.745 eV/atom
DFT total energy = -3.202 eV per atom
Uncorrected formation energy = 1351 meV/atom
Space group = Fm-3m, No. 225

a = 5.280 Å, b = 5.280 Å, c = 5.280 Å
α = 60.00°, β = 60.00°, γ = 60.00°
Positions (direct):
I1 0.250 0.250 0.250
I2 0.750 0.750 0.750
Os1 0.000 0.000 0.000
Bi1 0.500 0.500 0.500

***

Entry 2:
Below is an optimized crystal structure of CuAsHBr2, with properties calculated at the GGA-PBE level.

Summary:
Relative energy among the computed polymorphs = 0.150 eV/atom
DFT total energy = -2.402 eV per atom
Space group = P4/mmm, No. 123

a = 5.238 Å, b = 5.238 Å, c = 4.546 Å
α = 90.00°, β = 90.00°, γ = 90.00°
Positions (direct):
H1 0.500 0.500 0.500
As1 0.000 0.000 0.500
Cu1 0.000 0.000 0.000
Br1 0.000 0.500 0.000
Br2 0.500 0.000 0.000

***

Entry 3:
Below is an optimized crystal structure of NaIrS2, with properties calculated at the GGA-PBE level.

Summary:
DFT total energy = -4.545 eV per atom
Uncorrected formation energy = 63 meV/atom
Space group = Fm-3m, No. 225

a = 4.427 Å, b = 4.427 Å, c = 4.427 Å
α = 60.00°, β = 60.00°, γ = 60.00°
Positions (direct):
Na1 0.000 0.000 0.000
S1 0.250 0.250 0.250
S2 0.750 0.750 0.750
Ir1 0.500 0.500 0.500

***

Entry 4:
Below is an optimized crystal structure of La2ZnRh, with properties calculated at the GGA-PBE level.

Summary:
DFT total energy = -5.071 eV per atom
Space group = R3m, No. 160
E_form = -1.80 eV/f.u.

a = 4.222 Å, b = 4.222 Å, c = 7.845 Å
α = 74.39°, β = 74.39°, γ = 60.00°
Positions (direct):
La1 0.070 0.070 0.790
La2 0.264 0.264 0.209
Zn1 0.502 0.502 0.495
Rh1 0.665 0.665 0.006

***

Entry 5:
Below is an optimized crystal structure of TaIrBr3, with properties calculated at the GGA-PBE level.

Summary:
Relative energy among the computed polymorphs = 0.000 eV/atom
DFT total energy = -3.997 eV per atom
Uncorrected formation energy = 1150 meV/atom
Space group = Pm-3m, No. 221

a = 5.069 Å, b = 5.069 Å, c = 5.069 Å
α = 90.00°, β = 90.00°, γ = 90.00°
Positions (direct):
Ir1 0.500 0.500 0.500
Br1 0.000 0.500 0.000
Br2 0.000 0.000 0.500
Br3 0.500 0.000 0.000
Ta1 0.000 0.000 0.000

***

Entry 6:
Below is an optimized crystal structure of TlCo2As, with properties calculated at the GGA-PBE level.

Summary:
Relative energy among the computed polymorphs = 0.084 eV/atom
DFT total energy = -5.064 eV per atom
Space group = P4mm, No. 99
E_form = 0.97 eV/f.u.

a = 3.055 Å, b = 3.055 Å, c = 7.454 Å
α = 90.00°, β = 90.00°, γ = 90.00°
Positions (direct):
As1 0.500 0.500 0.852
Co1 0.000 0.000 0.020
Co2 0.500 0.500 0.181
Tl1 0.000 0.000 0.447